DyTl2Te3 (PBE, optimized geometry); formation energy without anion corrections = -0.73 eV per atom; calculated density = 7.54 Mg/m³; SG = C2/m (12); total energy = -3.8516 eV/atom; total magnetization = 0.00 μB/cell
1.0
2.726 -5.150 5.227
0.238 -7.378 -3.668
7.747 -1.326 0.515
Tl Te Dy
4 6 2
direct
0.836 0.500 0.327
0.000 0.000 0.000
0.500 0.500 0.000
0.164 0.500 0.673
0.423 0.775 0.651
0.277 0.217 0.000
0.577 0.225 0.349
0.723 0.783 0.000
0.074 0.775 0.349
0.926 0.225 0.651
0.330 0.000 0.341
0.670 0.000 0.659

YReAg2 (PBE, optimized geometry); calculated density = 10.54 Mg/m³; SG = I4/mmm (139); E above lowest polymorph = 38.1 meV/atom; formation energy from the elements = 422 meV/atom; total energy = -5.7317 eV/atom; total magnetization = 1.64 μB/cell
1.0
5.324 0.004 0.000
2.043 4.917 0.000
-3.684 -2.460 2.954
Ag Y Re
2 1 1
direct
0.000 0.000 0.000
0.500 0.500 0.000
0.750 0.250 0.500
0.250 0.750 0.500

MgAl2Rh (PBE, optimized geometry); calculated density = 4.73 Mg/m³; SG = P4mm (99); formation energy from the elements = -477 meV/atom; total energy = -4.5847 eV/atom; total magnetization = 0.00 μB/cell
1.0
-0.838 2.251 -2.214
-1.990 -2.155 -1.438
-4.472 1.787 3.512
Al Mg Rh
2 1 1
direct
0.500 0.500 0.228
0.000 0.000 0.975
0.000 0.000 0.513
0.500 0.500 0.783

ReGe (PBE, optimized geometry); calculated density = 12.94 Mg/m³; SG = Fm-3m (225); formation energy from the elements = 981 meV/atom; total energy = -7.5514 eV/atom; total magnetization = 0.01 μB/cell
1.0
-0.704 4.226 -2.772
-1.482 -2.848 -3.966
-4.832 0.258 1.621
Re Ge
4 4
direct
0.500 0.000 0.000
0.000 0.500 0.000
0.500 0.500 0.500
0.000 0.000 0.500
0.000 0.500 0.500
0.500 0.500 0.000
0.500 0.000 0.500
0.000 0.000 0.000

CaCdPb (PBE, optimized geometry); calculated density = 6.97 Mg/m³; SG = P3m1 (156); formation energy from the elements = -330 meV/atom; total energy = -2.5386 eV/atom; total magnetization = 0.00 μB/cell
1.0
-5.075 0.157 -0.541
2.111 -3.206 3.367
-0.202 2.679 2.677
Cd Ca Pb
1 1 1
direct
0.667 0.333 0.426
0.000 0.000 0.002
0.333 0.667 0.572

La7DyHo2 (PBE, optimized geometry); calculated density = 5.68 Mg/m³; SG = Cmmm (65); E above lowest polymorph = 266.5 meV/atom; formation energy from the elements = 599 meV/atom; total energy = -4.2262 eV/atom; total magnetization = 0.00 μB/cell
1.0
5.813 0.000 0.000
0.000 9.338 -0.466
0.000 -4.629 8.124
La Dy Ho
7 1 2
direct
0.500 0.500 0.500
0.000 0.767 0.233
0.500 0.705 0.933
0.500 0.933 0.705
0.500 0.067 0.295
0.000 0.233 0.767
0.500 0.295 0.067
0.000 0.000 0.000
0.500 0.295 0.705
0.500 0.705 0.295

ZnFeNiH2 (PBE, optimized geometry); calculated density = 5.77 Mg/m³; SG = P4/mmm (123); total energy = -3.9153 eV/atom; total magnetization = 2.48 μB/cell
1.0
-0.813 -2.832 1.591
4.254 -1.715 -0.880
1.118 1.296 2.878
H Ni Fe Zn
2 1 1 1
direct
0.000 0.000 0.500
0.500 0.000 0.000
0.000 0.000 0.000
0.500 0.500 0.500
0.000 0.500 0.000

PrTlPtAu (PBE, optimized geometry); calculated density = 13.39 Mg/m³; SG = F-43m (216); formation energy from the elements = -565 meV/atom; total energy = -4.6813 eV/atom; total magnetization = 0.00 μB/cell
1.0
5.057 0.000 0.000
2.529 4.380 0.000
2.529 1.460 4.129
Pr Pt Au Tl
1 1 1 1
direct
0.000 0.000 0.000
0.250 0.250 0.250
0.750 0.750 0.750
0.500 0.500 0.500

Ac2Pm12Dy5 (PBE, optimized geometry); calculated density = 7.53 Mg/m³; SG = C2/m (12); E above lowest polymorph = 0.0 meV/atom; formation energy from the elements = 114 meV/atom; total energy = -4.5299 eV/atom; total magnetization = 0.00 μB/cell
1.0
11.783 0.000 0.000
-5.891 8.932 1.417
0.000 -2.192 5.953
Pm Dy Ac
12 5 2
direct
0.867 0.205 0.610
0.661 0.795 0.390
0.419 0.838 0.636
0.108 0.215 0.017
0.551 0.586 0.783
0.449 0.414 0.217
0.965 0.414 0.217
0.581 0.162 0.364
0.892 0.785 0.983
0.035 0.586 0.783
0.339 0.205 0.610
0.133 0.795 0.390
0.000 0.000 0.500
0.674 0.349 0.892
0.782 0.564 0.439
0.326 0.651 0.108
0.218 0.436 0.561
0.716 0.000 0.000
0.284 0.000 0.000

ZnSbCl2 (PBE, optimized geometry); formation energy without anion corrections = -0.28 eV per atom; calculated density = 3.45 Mg/m³; SG = Immm (71); E above lowest polymorph = 270.3 meV/atom; total energy = -2.5507 eV/atom; total magnetization = 0.00 μB/cell
1.0
7.683 0.277 -0.008
5.099 5.754 0.008
-6.023 -3.796 2.902
Sb Zn Cl
1 1 2
direct
0.250 0.750 0.500
0.750 0.250 0.500
0.398 0.398 0.000
0.102 0.102 0.000

Si2SeBr (PBE, optimized geometry); formation energy without anion corrections = 0.51 eV per atom; calculated density = 4.40 Mg/m³; SG = Fm-3m (225); E above lowest polymorph = 579.5 meV/atom; total energy = -3.4941 eV/atom; total magnetization = 0.00 μB/cell
1.0
2.500 0.839 4.082
2.063 4.338 0.737
-1.794 3.002 3.374
Si Br Se
2 1 1
direct
0.750 0.750 0.750
0.250 0.250 0.250
0.500 0.500 0.500
0.000 0.000 0.000

La3Pm2NdY6 (PBE, optimized geometry); calculated density = 5.67 Mg/m³; SG = C2/m (12); formation energy from the elements = 9 meV/atom; total energy = -5.6440 eV/atom; total magnetization = 0.00 μB/cell
1.0
-1.240 -6.157 0.702
2.544 3.276 4.769
-11.173 3.570 2.114
Pm Y Nd La
2 6 1 3
direct
0.667 0.333 0.000
0.333 0.667 0.000
0.416 0.082 0.248
0.918 0.584 0.752
0.749 0.749 0.248
0.082 0.416 0.248
0.251 0.251 0.752
0.584 0.918 0.752
0.000 0.000 0.000
0.833 0.167 0.500
0.167 0.833 0.500
0.500 0.500 0.500